Record 1
VASP calculation (GGA-PBE) on an optimized crystal structure of ZrAsP2.

Cell: 5.298 5.298 5.298 Å, 136.92 136.92 62.56°
Positions (direct):
Zr 0.250 0.750 0.500
P 0.500 0.500 0.000
P 0.000 0.000 0.000
As 0.750 0.250 0.500

- Size of the total moment: 0.00 μB/atom
- Energy of formation from the pure elements: -0.185 eV per atom
- Symmetry: I4/mmm, No. 139

=====

Record 2
VASP calculation (GGA-PBE) on an optimized crystal structure of ZrAsP2.

Cell: 5.477 4.628 3.855 Å, 77.67 69.94 116.67°
Positions (direct):
Zr 0.000 0.500 0.500
As 0.500 0.500 0.000
P 0.000 0.000 0.000
P 0.500 0.000 0.500

- Size of the total moment: 0.00 μB/atom
- Energy of formation from the pure elements: -0.201 eV per atom
- Symmetry: C2/m, No. 12

=====

Record 3
VASP calculation (GGA-PBE) on an optimized crystal structure of ZrAs2P.

Cell: 5.996 5.996 7.067 Å, 64.90 64.90 90.00°
Positions (direct):
As 0.596 0.125 0.250
As 0.875 0.846 0.750
As 0.154 0.625 0.250
As 0.375 0.404 0.750
Zr 0.000 0.000 0.000
Zr 0.750 0.250 0.500
P 0.500 0.500 0.000
P 0.250 0.750 0.500

- Size of the total moment: 0.00 μB/atom
- Energy of formation from the pure elements: 0.076 eV per atom
- Symmetry: I-42d, No. 122